Below is SrLi2PrTl4 after structural relaxation, with properties calculated at the PBE level.

Calculated values
**V**: 657 Å³/cell
**DOS at the Fermi energy**: 0.492 states/eV per atom
**Calculated total energy**: -0.1024 hartree per atom
**Formation energy**: -0.32 eV per atom

Lattice parameters (Å, degrees): 5.3717 5.3717 26.2916 90.00 90.00 120.00
Space group R-3m (No. 166, hexagonal axes)
Symmetry-distinct sites (fractional):
Sr: 0.0000 0.0000 0.0000 x3
Li: 0.0000 0.0000 0.2496 x6
Pr: 0.0000 0.0000 0.5000 x3
Tl: 0.0000 0.0000 0.1265 x6
Tl: 0.0000 0.0000 0.3760 x6